# 1
Compound: FeSe
Source: Alexandria via LeMat-Bulk
Functional: PBE-GGA
Structure: relaxed

Space-group type: Pm-3m
Formation energy from raw total energies, kJ/mol of atoms: 23
Magnetic moment, μB per atom: 0.931

a b c (Å): 3.046 3.046 3.046
angles (deg): 90.00 90.00 90.00
Fractional coordinates of all 2 atoms:
Fe: 0.000 0.000 0.000
Se: 0.500 0.500 0.500


# 2
Compound: La6ErAl
Source: Alexandria via LeMat-Bulk
Functional: PBE-GGA
Structure: relaxed

Space-group type: P-1
Energy of formation, meV per atom: 343
Energy above the most stable polymorph in this dataset, meV/atom: 412
Magnetic moment, μB per atom: 0.000

a b c (Å): 6.596 6.643 8.938
angles (deg): 68.24 68.87 60.12
Fractional coordinates of all 8 atoms:
La: 0.035 0.431 0.733
La: 0.793 0.032 0.736
La: 0.572 0.204 0.264
La: 0.207 0.968 0.264
La: 0.965 0.569 0.267
La: 0.428 0.796 0.736
Er: 0.500 0.500 0.500
Al: 0.000 0.000 0.000